Crystalline HoAg5 at its relaxed geometry. Source: Alexandria via LeMat-Bulk, functional GGA-PBE.

a b c (Å): 9.5968 4.1853 6.1704
angles (deg): 90.00 108.01 90.00
Space group C2/m (No. 12)
One atom of each set of equivalent atoms:
1 Ho 0.0000 0.0000 0.0000
2 Ag 0.0000 0.0000 0.5000
3 Ag 0.1660 0.5000 0.8240
4 Ag 0.1711 0.5000 0.3440

Computed properties:
E_tot: -3.25 eV per atom
energy of formation: -0.11 eV per atom

Crystalline NpVTcOs at its relaxed geometry. Source: Alexandria via LeMat-Bulk, functional GGA-PBE.

a b c (Å): 6.4073 6.4073 6.4073
angles (deg): 90.00 90.00 90.00
Space group F-43m (No. 216)
One atom of each set of equivalent atoms:
1 Np 0.0000 0.0000 0.0000
2 V 0.0000 0.0000 0.5000
3 Tc 0.2500 0.2500 0.7500
4 Os 0.2500 0.2500 0.2500

Computed properties:
E_tot: -10.82 eV per atom
energy of formation: 0.09 eV per atom

Crystalline Pm2GaCu at its relaxed geometry. Source: Alexandria via LeMat-Bulk, functional GGA-PBE.

a b c (Å): 7.2623 7.2623 7.2623
angles (deg): 90.00 90.00 90.00
Space group Fm-3m (No. 225)
One atom of each set of equivalent atoms:
1 Pm 0.2500 0.2500 0.2500
2 Ga 0.0000 0.0000 0.0000
3 Cu 0.0000 0.0000 0.5000

Computed properties:
E_tot: -4.51 eV per atom
energy of formation: -0.35 eV per atom

Crystalline NaTaTeO6 at its relaxed geometry. Source: Alexandria via LeMat-Bulk, functional GGA-PBE.

a b c (Å): 5.3253 5.3253 10.4616
angles (deg): 90.00 90.00 120.00
Space group P-31c (No. 163)
One atom of each set of equivalent atoms:
1 Na 0.0000 0.0000 0.0000
2 Ta 0.3333 0.6667 0.2500
3 Te 0.3333 0.6667 0.7500
4 O 0.0078 0.3855 0.6458

Computed properties:
E_tot: -6.98 eV per atom
uncorrected formation energy: -1863 meV/atom

Crystalline MgNpB2O8 at its relaxed geometry. Source: Alexandria via LeMat-Bulk, functional GGA-PBE.

a b c (Å): 6.4328 6.4328 5.7083
angles (deg): 90.00 90.00 90.00
Space group I-4m2 (No. 119)
One atom of each set of equivalent atoms:
1 Mg 0.0000 0.0000 0.0000
2 Np 0.0000 0.5000 0.7500
3 B 0.0000 0.0000 0.5000
4 B 0.0000 0.5000 0.2500
5 O 0.0000 0.1808 0.6589
6 O 0.0000 0.3226 0.0880

Computed properties:
E_tot: -7.79 eV per atom
uncorrected formation energy: -2165 meV/atom

Crystalline ThAlPRh6 at its relaxed geometry. Source: Alexandria via LeMat-Bulk, functional GGA-PBE.

a b c (Å): 6.1232 9.0561 11.3285
angles (deg): 90.00 90.00 90.00
Space group Imma (No. 74)
One atom of each set of equivalent atoms:
1 Th 0.0000 0.2500 0.1730
2 Al 0.2500 0.2500 0.7500
3 P 0.0000 0.0000 0.5000
4 Rh 0.0000 0.2500 0.4285
5 Rh 0.0000 0.2500 0.9207
6 Rh 0.2323 0.0099 0.8695

Computed properties:
E_tot: -7.17 eV per atom
energy of formation: -0.43 eV per atom

Crystalline KLaCdN2 at its relaxed geometry. Source: Alexandria via LeMat-Bulk, functional GGA-PBE.

a b c (Å): 4.5883 4.5883 4.8222
angles (deg): 90.00 90.00 90.00
Space group P4/mmm (No. 123)
One atom of each set of equivalent atoms:
1 K 0.0000 0.0000 0.0000
2 La 0.5000 0.5000 0.0000
3 Cd 0.0000 0.0000 0.5000
4 N 0.0000 0.5000 0.5000

Computed properties:
E_tot: -3.40 eV per atom
uncorrected formation energy: 1317 meV/atom

Crystalline HfTa5Mn4 at its relaxed geometry. Source: Alexandria via LeMat-Bulk, functional GGA-PBE.

a b c (Å): 3.0782 3.0782 16.3254
angles (deg): 90.00 90.00 90.00
Space group P4/mmm (No. 123)
One atom of each set of equivalent atoms:
1 Hf 0.0000 0.0000 0.0000
2 Ta 0.5000 0.5000 0.1268
3 Ta 0.5000 0.5000 0.3133
4 Ta 0.5000 0.5000 0.5000
5 Mn 0.0000 0.0000 0.2193
6 Mn 0.0000 0.0000 0.4065

Computed properties:
E_tot: -10.75 eV per atom
energy of formation: -0.16 eV per atom

Crystalline P3W at its relaxed geometry. Source: Alexandria via LeMat-Bulk, functional GGA-PBE.

a b c (Å): 3.1878 4.4461 8.7500
angles (deg): 90.00 90.00 90.00
Space group Cmmm (No. 65)
One atom of each set of equivalent atoms:
1 P 0.0000 0.0000 0.0000
2 P 0.0000 0.5000 0.2767
3 W 0.0000 0.0000 0.5000

Computed properties:
E_tot: -6.73 eV per atom
energy of formation: 0.56 eV per atom

Crystalline YHoTl at its relaxed geometry. Source: Alexandria via LeMat-Bulk, functional GGA-PBE.

a b c (Å): 6.9036 5.0585 9.9133
angles (deg): 90.00 90.00 90.00
Space group Pnma (No. 62)
One atom of each set of equivalent atoms:
1 Y 0.0499 0.2500 0.2032
2 Ho 0.1648 0.2500 0.5602
3 Tl 0.2093 0.2500 0.8801

Computed properties:
E_tot: -4.76 eV per atom
energy of formation: -0.29 eV per atom

Crystalline Pm2Dy3Pb4 at its relaxed geometry. Source: Alexandria via LeMat-Bulk, functional GGA-PBE.

a b c (Å): 16.9651 4.8758 6.8115
angles (deg): 90.00 103.26 90.00
Space group C2/m (No. 12)
One atom of each set of equivalent atoms:
1 Pm 0.1672 0.0000 0.0790
2 Dy 0.0000 0.5000 0.0000
3 Dy 0.1093 0.5000 0.5736
4 Pb 0.0056 0.0000 0.2816
5 Pb 0.2426 0.0000 0.6719

Computed properties:
E_tot: -4.69 eV per atom
energy of formation: -0.45 eV per atom

Crystalline CsInSe2 at its relaxed geometry. Source: Alexandria via LeMat-Bulk, functional GGA-PBE.

a b c (Å): 11.8336 11.8330 17.3399
angles (deg): 90.00 99.71 90.00
Space group C2/c (No. 15)
One atom of each set of equivalent atoms:
1 Cs 0.0359 0.1862 0.3953
2 Cs 0.2153 0.4367 0.1092
3 In 0.1031 0.1900 0.6656
4 In 0.1447 0.4377 0.8344
5 Se 0.0000 0.0525 0.7500
6 Se 0.0000 0.4248 0.2500
7 Se 0.0441 0.3140 0.9290
8 Se 0.2064 0.0638 0.5727
9 Se 0.2386 0.1862 0.2499

Computed properties:
E_tot: -3.60 eV per atom
uncorrected formation energy: -956 meV/atom